[1]
Below is a geometry-optimized Ca5YCd4 structure, with properties calculated at the PBE level.

Results
The value obtained for the formation enthalpy at 0 K is -0.245 eV per atom. The value obtained for the calculated total energy is -22.6 eV/cell. The calculation puts the total magnetization at 1.0 μB per formula unit. As for the symmetry: P4/mmm (123). As for the density of states at the Fermi level: 10.89 states/eV per cell.

Structure (CIF):
```
data_Ca5YCd4
_chemical_formula_sum 'Ca5 Y1 Cd4'
_space_group_name_H-M_alt 'P 1'
_space_group_IT_number 1
_space_group_name_Hall 'P 1'
_cell_length_a 3.809
_cell_length_b 3.809
_cell_length_c 20.674
_cell_angle_alpha 90.00
_cell_angle_beta 90.00
_cell_angle_gamma 90.00
loop_
_atom_site_label
_atom_site_fract_x
_atom_site_fract_y
_atom_site_fract_z
Ca1 0.000 0.000 0.000
Ca2 0.000 0.000 0.187
Ca3 0.000 0.000 0.374
Ca4 0.000 0.000 0.626
Ca5 0.000 0.000 0.813
Y1 0.500 0.500 0.500
Cd1 0.500 0.500 0.092
Cd2 0.500 0.500 0.282
Cd3 0.500 0.500 0.718
Cd4 0.500 0.500 0.908
```

=====

[2]
Below is a geometry-optimized MgH6Rh3 structure, with properties calculated at the PBE level.

Results
The value obtained for the calculated total energy is -44.9 eV/cell. The calculation puts the total magnetization at 0.0 μB per formula unit. As for the symmetry: R3 (146). As for the density of states at the Fermi level: 3.75 states/eV per cell.

Structure (CIF):
```
data_MgH6Rh3
_chemical_formula_sum 'Mg1 H6 Rh3'
_space_group_name_H-M_alt 'P 1'
_space_group_IT_number 1
_space_group_name_Hall 'P 1'
_cell_length_a 5.061
_cell_length_b 5.061
_cell_length_c 5.061
_cell_angle_alpha 55.68
_cell_angle_beta 55.68
_cell_angle_gamma 55.68
loop_
_atom_site_label
_atom_site_fract_x
_atom_site_fract_y
_atom_site_fract_z
Mg1 0.000 0.000 0.000
H1 0.024 0.532 0.495
H2 0.199 0.567 0.820
H3 0.495 0.024 0.532
H4 0.532 0.495 0.024
H5 0.567 0.820 0.199
H6 0.820 0.199 0.567
Rh1 0.208 0.208 0.208
Rh2 0.434 0.434 0.434
Rh3 0.783 0.783 0.783
```

=====

[3]
Below is a geometry-optimized TmHgRhPb structure, with properties calculated at the PBE level.

Results
The value obtained for the formation enthalpy at 0 K is -0.291 eV per atom. The value obtained for the calculated total energy is -17.0 eV/cell. The calculation puts the total magnetization at 0.0 μB per formula unit. As for the symmetry: F-43m (216). As for the density of states at the Fermi level: 1.81 states/eV per cell.

Structure (CIF):
```
data_TmHgRhPb
_chemical_formula_sum 'Tm1 Hg1 Rh1 Pb1'
_space_group_name_H-M_alt 'P 1'
_space_group_IT_number 1
_space_group_name_Hall 'P 1'
_cell_length_a 4.987
_cell_length_b 4.987
_cell_length_c 4.987
_cell_angle_alpha 60.00
_cell_angle_beta 60.00
_cell_angle_gamma 60.00
loop_
_atom_site_label
_atom_site_fract_x
_atom_site_fract_y
_atom_site_fract_z
Tm1 0.000 0.000 0.000
Hg1 0.250 0.250 0.250
Rh1 0.750 0.750 0.750
Pb1 0.500 0.500 0.500
```